# SrVBO5

SrVBO5 after structural relaxation (PBE+U, the Alexandria database).

Unit cell a=5.3517 b=5.3517 c=6.9931 alpha=104.52 beta=104.52 gamma=105.64
With the nearest neighbours (Å) after each atom.
Sites, in units of the cell vectors:
Sr1 0.3375 0.6625 0.2500  7 O 2.38-2.64
Sr2 0.6625 0.3375 0.7500  7 O 2.38-2.64
V1 0.0000 0.0000 0.5000  6 O 1.82-1.96
V2 0.0000 0.0000 0.0000  6 O 1.82-1.96
B1 0.6901 0.3099 0.2500  4 O 1.50-1.54
B2 0.3099 0.6901 0.7500  4 O 1.50-1.54
O1 0.0589 0.9411 0.2500  2 V 1.82
O2 0.9411 0.0589 0.7500  2 V 1.82
O3 0.8741 0.2959 0.1201  1 B 1.50
O4 0.1259 0.7041 0.8799  1 B 1.50
O5 0.7041 0.1259 0.3799  1 B 1.50
O6 0.2959 0.8741 0.6201  1 B 1.50
O7 0.7707 0.6079 0.3953  1 B 1.54
O8 0.2293 0.3921 0.6047  1 B 1.54
O9 0.3921 0.2293 0.1047  1 B 1.54
O10 0.6079 0.7707 0.8953  1 B 1.54

Calculated values
- E (eV for the cell shown) = -117.50